Density functional theory data (PBE-GGA) for a relaxed structure of KFe2Br.

a = 3.5300 Å, b = 3.5300 Å, c = 24.7982 Å
α = 90.00°, β = 90.00°, γ = 120.00°
With the nearest neighbours (Å) after each atom.
Space group R3m (No. 160, hexagonal axes)
Unique sites:
1 K 0.0000 0.0000 0.0000 [3 per cell]  3 Br 3.18, 3 Fe 3.34, 6 K 3.53
2 Fe 0.0000 0.0000 0.2265 [3 per cell]  3 Fe 2.44
3 Fe 0.0000 0.0000 0.5060 [3 per cell]  3 Fe 2.44
4 Br 0.0000 0.0000 0.7652 [3 per cell]  3 Fe 2.75

Properties
The total DFT energy (no corrections) is -55.0 eV per cell. Its density of states at the Fermi level is 6.51 states/eV/cell. Its energy above the most stable polymorph in this dataset is 0.139 eV per atom. The calculation puts the raw formation energy at 343 meV per atom.


Density functional theory data (PBE-GGA) for a relaxed structure of KFeBr4.

a = 22.8648 Å, b = 5.2919 Å, c = 9.2599 Å
α = 90.00°, β = 113.64°, γ = 90.00°
With the nearest neighbours (Å) after each atom.
Space group C2/m (No. 12)
Unique sites:
1 K 0.2414 0.0000 0.2404 [4 per cell]  7 Br 3.24-3.53
2 Fe 0.0909 0.5000 0.0943 [4 per cell]  6 Br 2.50-2.65
3 Br 0.0008 0.5000 0.8141 [4 per cell]  2 Fe 2.56-2.59
4 Br 0.0866 0.0000 0.0849 [4 per cell]  2 Fe 2.65
5 Br 0.1731 0.5000 0.3721 [4 per cell]  1 Fe 2.50
6 Br 0.1744 0.5000 0.9809 [4 per cell]  1 Fe 2.52

Properties
The total DFT energy (no corrections) is -84.2 eV per cell. Its density of states at the Fermi level is 7.00 states/eV/cell. Its energy above the most stable polymorph in this dataset is 0.146 eV per atom. The calculation puts the raw formation energy at -799 meV per atom.


Density functional theory data (PBE-GGA) for a relaxed structure of K2FeBr.

a = 4.8395 Å, b = 4.8395 Å, c = 6.9700 Å
α = 90.00°, β = 90.00°, γ = 90.00°
With the nearest neighbours (Å) after each atom.
Space group P4mm (No. 99)
Unique sites:
1 K 0.0000 0.0000 0.0000 [1 per cell]  4 Fe 3.42, 2 Br 3.48-3.49
2 K 0.5000 0.5000 0.4978 [1 per cell]  4 Br 3.42, 2 Fe 3.48-3.49
3 Fe 0.5000 0.5000 0.9967 [1 per cell]  6 K 3.42-3.49
4 Br 0.0000 0.0000 0.4992 [1 per cell]  6 K 3.42-3.49

Properties
The total DFT energy (no corrections) is -12.3 eV per cell. Its density of states at the Fermi level is 2.85 states/eV/cell. Its energy above the most stable polymorph in this dataset is 0.062 eV per atom. The calculation puts the raw formation energy at 15 meV per atom.


Density functional theory data (PBE-GGA) for a relaxed structure of KFe2Br.

a = 4.6371 Å, b = 4.6371 Å, c = 20.0288 Å
α = 90.00°, β = 90.00°, γ = 90.00°
With the nearest neighbours (Å) after each atom.
Space group I4_1/amd (No. 141, origin choice 2)
Unique sites:
1 K 0.0000 0.2500 0.3750 [4 per cell]  4 Br 3.28, 8 Fe 3.60
2 Fe 0.0000 0.0000 0.0000 [8 per cell]  2 Fe 2.32
3 Br 0.0000 0.2500 0.8750 [4 per cell]  4 Fe 2.76

Properties
The total DFT energy (no corrections) is -68.8 eV per cell. Its density of states at the Fermi level is 11.41 states/eV/cell. Its energy above the most stable polymorph in this dataset is 0.418 eV per atom. The calculation puts the raw formation energy at 622 meV per atom.


Density functional theory data (PBE-GGA) for a relaxed structure of KFe2Br.

a = 3.3343 Å, b = 6.3770 Å, c = 4.9775 Å
α = 90.00°, β = 91.27°, γ = 90.00°
With the nearest neighbours (Å) after each atom.
Space group P2/m (No. 10)
Unique sites:
1 K 0.0000 0.0000 0.0000 [1 per cell]  4 Br 2.96-3.03
2 Fe 0.2679 0.5000 0.1713 [2 per cell]  2 Fe 2.33-2.44
3 Br 0.5000 0.0000 0.5000 [1 per cell]  4 K 2.96-3.03

Properties
The total DFT energy (no corrections) is -17.5 eV per cell. Its density of states at the Fermi level is 3.21 states/eV/cell. Its energy above the most stable polymorph in this dataset is 0.348 eV per atom. The calculation puts the raw formation energy at 552 meV per atom.


Density functional theory data (PBE-GGA) for a relaxed structure of K2FeBr4.

a = 7.4555 Å, b = 7.6072 Å, c = 9.2197 Å
α = 90.00°, β = 108.26°, γ = 90.00°
With the nearest neighbours (Å) after each atom.
Space group P2_1/m (No. 11)
Unique sites:
1 K 0.2136 0.2500 0.0501 [2 per cell]  6 Br 3.30-3.47
2 K 0.2667 0.2500 0.5687 [2 per cell]  6 Br 3.38-3.50
3 Fe 0.2287 0.7500 0.8002 [2 per cell]  4 Br 2.43-2.45
4 Br 0.0088 0.5013 0.7404 [4 per cell]  1 Fe 2.45
5 Br 0.4043 0.7500 0.0715 [2 per cell]  1 Fe 2.43
6 Br 0.4240 0.7500 0.6322 [2 per cell]  1 Fe 2.44

Properties
The total DFT energy (no corrections) is -51.3 eV per cell. Its density of states at the Fermi level is 13.30 states/eV/cell. The calculation puts the raw formation energy at -1183 meV per atom.